A plane-wave DFT calculation with GGA-PBE was carried out for a relaxed CuAsBr2 crystal.

Lattice parameters (Å, degrees): 3.7747 3.7747 15.6485 90.00 90.00 90.00
Last column: nearest neighbours and their distance in Å.
Space group I-4m2 (No. 119)
Symmetry-distinct sites (fractional):
Cu1 0.0000 0.0000 0.0000  4 Br 2.67
As1 0.0000 0.5000 0.7500  4 Br 2.67
Br1 0.0000 0.0000 0.5000  4 Cu 2.67
Br2 0.0000 0.5000 0.2500  4 As 2.67

Summary:
distance to the lowest polymorph of the same formula	539	meV/atom
DOS at the Fermi energy	0.743	states/eV/atom
V	111.5	Å³/f.u.
raw formation energy	352	meV/atom